# 1
## SrTl3Cl (PBE)

Data for crystalline SrTl3Cl at its relaxed geometry.

The structure in POSCAR format:
```
SrTl3Cl
1.0
6.4620 0.0000 0.0000
0.0000 6.4620 0.0000
0.0000 0.0000 6.4620
Sr Tl Cl
1 3 1
direct
0.0000 0.0000 0.0000
0.0000 0.0000 0.5000
0.0000 0.5000 0.0000
0.5000 0.0000 0.0000
0.5000 0.5000 0.5000
```

Computed properties:
N(E_F) = 10.81 states/eV per cell
raw formation energy = 309 meV/atom

# 2
## Pm7NdIr4 (PBE)

Data for crystalline Pm7NdIr4 at its relaxed geometry.

The structure in POSCAR format:
```
Pm7NdIr4
1.0
6.9647 -2.7584 0.0000
6.9647 2.7584 0.0000
-6.0522 0.0000 8.3129
Pm Nd Ir
7 1 4
direct
0.0000 0.0000 0.0000
0.1659 0.1659 0.6169
0.2899 0.2899 0.1283
0.4122 0.4122 0.6213
0.5878 0.5878 0.3787
0.7101 0.7101 0.8717
0.8341 0.8341 0.3831
0.5000 0.5000 0.0000
0.0674 0.0674 0.7851
0.1993 0.1993 0.3249
0.8007 0.8007 0.6751
0.9326 0.9326 0.2149
```

Computed properties:
N(E_F) = 10.26 states/eV per cell
ΔE_f = -289.3 meV/atom

# 3
## CsTi2HgO6 (PBE)

Data for crystalline CsTi2HgO6 at its relaxed geometry.

The structure in POSCAR format:
```
CsTi2HgO6
1.0
5.7306 -6.2090 0.0000
5.7306 6.2090 0.0000
-1.6432 0.0000 5.8354
Cs Ti Hg O
2 4 2 12
direct
0.1063 0.8937 0.7500
0.8937 0.1063 0.2500
0.2088 0.3722 0.8180
0.3722 0.2088 0.3180
0.6278 0.7912 0.6820
0.7912 0.6278 0.1820
0.2916 0.7084 0.2500
0.7084 0.2916 0.7500
0.0089 0.2729 0.7530
0.2082 0.5929 0.9164
0.2729 0.0089 0.2530
0.2831 0.3270 0.5448
0.3270 0.2831 0.0448
0.4071 0.7918 0.5836
0.5929 0.2082 0.4164
0.6730 0.7169 0.9552
0.7169 0.6730 0.4552
0.7271 0.9911 0.7470
0.7918 0.4071 0.0836
0.9911 0.7271 0.2470
```

Computed properties:
N(E_F) = 8.85 states/eV per cell
raw formation energy = -2011 meV/atom

# 4
## MgSbI2Cl (PBE)

Data for crystalline MgSbI2Cl at its relaxed geometry.

The structure in POSCAR format:
```
MgSbI2Cl
1.0
6.7055 0.0000 0.0000
0.0000 6.7055 0.0000
0.0000 0.0000 4.8918
Mg Sb I Cl
1 1 2 1
direct
0.0000 0.0000 0.0000
0.5000 0.5000 0.0000
0.0000 0.5000 0.5000
0.5000 0.0000 0.5000
0.5000 0.5000 0.5000
```

Computed properties:
N(E_F) = 6.97 states/eV per cell
raw formation energy = 437 meV/atom

# 5
## GaHg2POs (PBE)

Data for crystalline GaHg2POs at its relaxed geometry.

The structure in POSCAR format:
```
GaHg2POs
1.0
4.9613 0.0000 0.0000
0.0000 4.9613 0.0000
0.0000 0.0000 4.7541
Ga Hg P Os
1 2 1 1
direct
0.0000 0.0000 0.0000
0.0000 0.5000 0.5000
0.5000 0.0000 0.5000
0.0000 0.0000 0.5000
0.5000 0.5000 0.0000
```

Computed properties:
N(E_F) = 5.23 states/eV per cell
ΔE_f = 1384.4 meV/atom

# 6
## EuEr2Co (PBE)

Data for crystalline EuEr2Co at its relaxed geometry.

The structure in POSCAR format:
```
EuEr2Co
1.0
3.3870 0.0000 0.0000
0.0000 3.3870 0.0000
0.0000 0.0000 9.2574
Eu Er Co
1 2 1
direct
0.0000 0.0000 0.0000
0.5000 0.5000 0.3295
0.5000 0.5000 0.6705
0.0000 0.0000 0.5000
```

Computed properties:
N(E_F) = 3.32 states/eV per cell
ΔE_f = -68.3 meV/atom